(1)
The following is a DFT calculation (PBE) of crystalline NdCd5Pt at its relaxed geometry.

Computed properties:
E_form = -318.6 meV/atom
Symmetry = P4/mmm (123)
DFT total energy = -2.516 eV/atom

abc: 4.8084 4.8084 7.2870
angles: 90.00 90.00 90.00
Closest atoms and distances in Å follow each position.
Positions (direct):
Nd  0.0000  0.0000  0.0000  12 Cd 3.24-3.40
Cd  0.0000  0.5000  0.2975  2 Pt 2.82, 1 Cd 2.95
Cd  0.0000  0.5000  0.7025  2 Pt 2.82, 1 Cd 2.95
Cd  0.5000  0.0000  0.2975  2 Pt 2.82, 1 Cd 2.95
Cd  0.5000  0.0000  0.7025  2 Pt 2.82, 1 Cd 2.95
Cd  0.5000  0.5000  0.0000  8 Cd 3.24, 4 Nd 3.40
Pt  0.0000  0.0000  0.5000  8 Cd 2.82



(2)
The following is a DFT calculation (PBE) of crystalline NdCdPt2 at its relaxed geometry.

Computed properties:
E_form = -787.8 meV/atom
Symmetry = Pnma (62)
DFT total energy = -5.229 eV/atom

abc: 7.5122 4.3043 10.5376
angles: 90.00 90.00 90.00
Closest atoms and distances in Å follow each position.
Positions (direct):
Nd  0.2012  0.2500  0.1761  7 Pt 3.01-3.22
Nd  0.2988  0.7500  0.6761  7 Pt 3.01-3.22
Nd  0.7012  0.2500  0.3239  7 Pt 3.01-3.22
Nd  0.7988  0.7500  0.8239  7 Pt 3.01-3.22
Cd  0.0466  0.7500  0.4036  5 Pt 2.74-2.90, 2 Cd 3.04
Cd  0.4534  0.2500  0.9036  5 Pt 2.74-2.90, 2 Cd 3.04
Cd  0.5466  0.7500  0.0964  5 Pt 2.74-2.90, 2 Cd 3.04
Cd  0.9534  0.2500  0.5964  5 Pt 2.74-2.90, 2 Cd 3.04
Pt  0.0780  0.2500  0.8408  3 Pt 2.74-2.98, 2 Cd 2.74-2.90, 2 Nd 3.01
Pt  0.2151  0.7500  0.9685  3 Pt 2.74-2.98, 3 Cd 2.83-2.88
Pt  0.2849  0.2500  0.4685  3 Pt 2.74-2.98, 3 Cd 2.83-2.88
Pt  0.4220  0.7500  0.3408  3 Pt 2.74-2.98, 2 Cd 2.74-2.90, 2 Nd 3.01
Pt  0.5780  0.2500  0.6592  3 Pt 2.74-2.98, 2 Cd 2.74-2.90, 2 Nd 3.01
Pt  0.7151  0.7500  0.5315  3 Pt 2.74-2.98, 3 Cd 2.83-2.88
Pt  0.7849  0.2500  0.0315  3 Pt 2.74-2.98, 3 Cd 2.83-2.88
Pt  0.9220  0.7500  0.1592  3 Pt 2.74-2.98, 2 Cd 2.74-2.90, 2 Nd 3.01



(3)
The following is a DFT calculation (PBE) of crystalline NdCd4Pt2 at its relaxed geometry.

Computed properties:
Offset from the most stable computed form = 0.0 meV/atom
E_form = -498.2 meV/atom
Symmetry = P4_2/mnm (136)
DFT total energy = -3.428 eV/atom

abc: 8.6911 8.6911 4.1160
angles: 90.00 90.00 90.00
Closest atoms and distances in Å follow each position.
Positions (direct):
Nd  0.0000  0.0000  0.0000  4 Pt 3.02
Nd  0.5000  0.5000  0.5000  4 Pt 3.02
Cd  0.0972  0.3392  0.5000  3 Pt 2.78-2.83, 5 Cd 2.98-3.09
Cd  0.1608  0.5972  0.0000  3 Pt 2.78-2.83, 5 Cd 2.98-3.09
Cd  0.3392  0.0972  0.5000  3 Pt 2.78-2.83, 5 Cd 2.98-3.09
Cd  0.4028  0.8392  0.0000  3 Pt 2.78-2.83, 5 Cd 2.98-3.09
Cd  0.5972  0.1608  0.0000  3 Pt 2.78-2.83, 5 Cd 2.98-3.09
Cd  0.6608  0.9028  0.5000  3 Pt 2.78-2.83, 5 Cd 2.98-3.09
Cd  0.8392  0.4028  0.0000  3 Pt 2.78-2.83, 5 Cd 2.98-3.09
Cd  0.9028  0.6608  0.5000  3 Pt 2.78-2.83, 5 Cd 2.98-3.09
Pt  0.1796  0.8204  0.5000  6 Cd 2.78-2.83, 2 Nd 3.02
Pt  0.3204  0.3204  0.0000  6 Cd 2.78-2.83, 2 Nd 3.02
Pt  0.6796  0.6796  0.0000  6 Cd 2.78-2.83, 2 Nd 3.02
Pt  0.8204  0.1796  0.5000  6 Cd 2.78-2.83, 2 Nd 3.02



(4)
The following is a DFT calculation (PBE) of crystalline Nd5Cd4Pt at its relaxed geometry.

Computed properties:
E_form = -467.6 meV/atom
Symmetry = P4/mmm (123)
DFT total energy = -3.822 eV/atom

abc: 3.7806 3.7806 19.2696
angles: 90.00 90.00 90.00
Closest atoms and distances in Å follow each position.
Positions (direct):
Nd  0.0000  0.0000  0.0000  8 Cd 3.33
Nd  0.0000  0.0000  0.2065  8 Cd 3.29-3.33
Nd  0.0000  0.0000  0.4137  4 Pt 3.15, 1 Nd 3.33, 4 Cd 3.38
Nd  0.0000  0.0000  0.5863  4 Pt 3.15, 1 Nd 3.33, 4 Cd 3.38
Nd  0.0000  0.0000  0.7935  8 Cd 3.29-3.33
Cd  0.5000  0.5000  0.1032  8 Nd 3.33
Cd  0.5000  0.5000  0.3063  8 Nd 3.29-3.38
Cd  0.5000  0.5000  0.6937  8 Nd 3.29-3.38
Cd  0.5000  0.5000  0.8968  8 Nd 3.33
Pt  0.5000  0.5000  0.5000  8 Nd 3.15